The following is a DFT calculation (SCAN) of a PBEsol-optimized structure of HgMo2Br.

The calculation puts the total energy at -38.738 eV/atom.

a = 3.412 Å, b = 4.809 Å, c = 5.290 Å
α = 90.00°, β = 95.11°, γ = 90.00°
Space group P2/m (No. 10)
Asymmetric unit:
Hg: 0.000 0.000 0.000 (multiplicity 1)
Mo: 0.312 0.500 0.159 (multiplicity 2)
Br: 0.500 0.000 0.500 (multiplicity 1)